1.
CrTe2I GGA-PBE optimized geometry; raw formation energy = -133.6 meV per atom; VASP energy = -0.3306 Ry per atom; magnetic moment = 3.02 μB/f.u.; energy above the lowest structure with this stoichiometry = 7.6 kJ/mol of atoms; symmetry = R-3m (166)
1.0
5.822 -6.393 2.498
8.035 -4.052 -0.132
7.612 -2.886 3.838
Te Cr I
2 1 1
direct
0.886 0.886 0.886 Te
0.114 0.114 0.114 Te
0.500 0.500 0.500 Cr
0.000 0.000 0.000 I

***

2.
K2ZnPt GGA-PBE optimized geometry; ΔH_f (0 K) = -93 meV per atom; VASP energy = -0.1816 Ry per atom; magnetic moment = 0.00 μB/f.u.; symmetry = Imm2 (44)
1.0
-5.805 1.186 0.567
-2.513 -3.019 -4.472
3.432 -1.489 4.629
Zn Pt K
1 1 2
direct
0.328 0.828 0.500 Zn
0.417 0.417 0.000 Pt
0.722 0.222 0.500 K
0.033 0.033 0.000 K

***

3.
AlAg2Br GGA-PBE optimized geometry; raw formation energy = -18.2 meV per atom; VASP energy = -0.2056 Ry per atom; magnetic moment = 0.00 μB/f.u.; energy above the lowest structure with this stoichiometry = 0.0 kJ/mol of atoms; symmetry = R-3m (166)
1.0
8.158 -0.072 -0.043
7.437 3.355 -0.043
7.437 1.565 2.967
Al Ag Br
1 2 1
direct
0.750 0.750 0.750 Al
0.494 0.494 0.494 Ag
0.006 0.006 0.006 Ag
0.250 0.250 0.250 Br

***

4.
YCrRh2 GGA-PBE optimized geometry; ΔH_f (0 K) = -289 meV per atom; VASP energy = -0.5870 Ry per atom; magnetic moment = 3.43 μB/f.u.; energy above the lowest structure with this stoichiometry = 3.0 kJ/mol of atoms; symmetry = Pmmm (47)
1.0
-1.487 1.490 -2.453
-2.881 -1.236 0.996
-3.816 3.942 4.708
Rh Cr Y
2 1 1
direct
0.000 0.034 0.966 Rh
0.000 0.466 0.534 Rh
0.500 0.750 0.750 Cr
0.500 0.250 0.250 Y

***

5.
Ba2CdOs GGA-PBE optimized geometry; ΔH_f (0 K) = 661 meV per atom; VASP energy = -0.2453 Ry per atom; magnetic moment = 0.00 μB/f.u.; symmetry = F-43m (216)
1.0
-4.997 -1.620 -1.295
-0.822 -2.913 -4.485
-1.331 -5.231 0.378
Os Ba Cd
1 2 1
direct
0.750 0.750 0.750 Os
0.250 0.250 0.250 Ba
0.000 0.000 0.000 Ba
0.500 0.500 0.500 Cd

***

6.
NbGaHg2 GGA-PBE optimized geometry; ΔH_f (0 K) = 472 meV per atom; VASP energy = -0.2170 Ry per atom; magnetic moment = 0.00 μB/f.u.; symmetry = R-3m (166)
1.0
3.052 0.000 0.000
1.526 2.643 0.000
1.526 0.881 10.774
Hg Nb Ga
2 1 1
direct
0.911 0.911 0.268 Hg
0.089 0.089 0.732 Hg
0.000 0.000 0.000 Nb
0.500 0.500 0.500 Ga

***

7.
AlAgSn GGA-PBE optimized geometry; ΔH_f (0 K) = 70 meV per atom; VASP energy = -0.2545 Ry per atom; magnetic moment = 0.00 μB/f.u.; symmetry = P-1 (2)
1.0
-5.395 -1.806 -0.171
0.882 -0.714 2.924
-4.188 5.186 4.181
Ag Sn Al
2 2 2
direct
0.432 0.967 0.127 Ag
0.607 0.282 0.673 Ag
0.219 0.660 0.541 Sn
0.820 0.590 0.259 Sn
0.822 0.783 0.869 Al
0.217 0.466 0.931 Al

***

8.
InMoP2 GGA-PBE optimized geometry; ΔH_f (0 K) = 254 meV per atom; VASP energy = -0.4295 Ry per atom; magnetic moment = 0.01 μB/f.u.; symmetry = P2/m (10)
1.0
3.678 0.000 0.000
0.000 6.526 0.002
0.000 4.537 2.998
P In Mo
2 1 1
direct
0.500 0.500 0.000 P
0.000 0.000 0.000 P
0.500 0.500 0.500 In
0.000 0.000 0.500 Mo